# 1
First-principles (PBE-GGA) data for a relaxed Sc3Si8Rh3 crystal, as listed in Alexandria via LeMat-Bulk.

The structure in CIF format:
```
data_Sc3Si8Rh3
_chemical_formula_sum 'Sc6 Si16 Rh6'
_symmetry_space_group_name_H-M 'C 1 2/m 1'
_symmetry_Int_Tables_number 12
_cell_length_a 14.418
_cell_length_b 4.092
_cell_length_c 8.444
_cell_angle_alpha 90.00
_cell_angle_beta 119.32
_cell_angle_gamma 90.00
loop_
_symmetry_equiv_pos_as_xyz
'x,y,z'
'-x,-y,-z'
'-x,y,-z'
'x,-y,z'
'x+1/2,y+1/2,z'
'-x+1/2,-y+1/2,-z'
'-x+1/2,y+1/2,-z'
'x+1/2,-y+1/2,z'
loop_
_atom_site_label
_atom_site_fract_x
_atom_site_fract_y
_atom_site_fract_z
Sc1 0.000 0.000 0.000
Sc2 0.200 0.500 0.642
Si1 0.015 0.500 0.706
Si2 0.116 0.000 0.375
Si3 0.134 0.000 0.838
Si4 0.141 0.500 0.252
Rh1 0.000 0.000 0.500
Rh2 0.177 0.500 0.012
```

Fermi-level density of states: 0.366 states/eV/atom
ΔE_f (raw): -0.650 eV per atom
Calculated volume: 15.5 Å³ per atom


# 2
First-principles (PBE-GGA) data for a relaxed Sc2SiRh2 crystal, as listed in Alexandria via LeMat-Bulk.

The structure in CIF format:
```
data_Sc2SiRh2
_chemical_formula_sum 'Sc4 Si2 Rh4'
_symmetry_space_group_name_H-M 'I 4/m m m'
_symmetry_Int_Tables_number 139
_symmetry_space_group_name_Hall '-I 4 2'
_cell_length_a 3.587
_cell_length_b 3.587
_cell_length_c 14.822
_cell_angle_alpha 90.00
_cell_angle_beta 90.00
_cell_angle_gamma 90.00
loop_
_atom_site_label
_atom_site_fract_x
_atom_site_fract_y
_atom_site_fract_z
Sc1 0.000 0.000 0.109
Si1 0.000 0.000 0.500
Rh1 0.000 0.500 0.250
```

Fermi-level density of states: 1.132 states/eV/atom
ΔE_f (raw): -0.296 eV per atom
Calculated volume: 19.1 Å³ per atom


# 3
First-principles (PBE-GGA) data for a relaxed ScSiRh crystal, as listed in Alexandria via LeMat-Bulk.

The structure in CIF format:
```
data_ScSiRh
_chemical_formula_sum 'Sc4 Si4 Rh4'
_symmetry_space_group_name_H-M 'F -4 3 m'
_symmetry_Int_Tables_number 216
_symmetry_space_group_name_Hall 'F -4 2 3'
_cell_length_a 6.020
_cell_length_b 6.020
_cell_length_c 6.020
_cell_angle_alpha 90.00
_cell_angle_beta 90.00
_cell_angle_gamma 90.00
loop_
_atom_site_label
_atom_site_fract_x
_atom_site_fract_y
_atom_site_fract_z
Sc1 0.000 0.000 0.000
Si1 0.000 0.000 0.500
Rh1 0.250 0.250 0.750
```

Fermi-level density of states: 1.320 states/eV/atom
ΔE_f (raw): -0.724 eV per atom
Calculated volume: 18.2 Å³ per atom


# 4
First-principles (PBE-GGA) data for a relaxed ScSiRh crystal, as listed in Alexandria via LeMat-Bulk.

The structure in CIF format:
```
data_ScSiRh
_chemical_formula_sum 'Sc2 Si2 Rh2'
_symmetry_space_group_name_H-M 'I 4 m m'
_symmetry_Int_Tables_number 107
_symmetry_space_group_name_Hall 'I 4 -2'
_cell_length_a 3.033
_cell_length_b 3.033
_cell_length_c 10.299
_cell_angle_alpha 90.00
_cell_angle_beta 90.00
_cell_angle_gamma 90.00
loop_
_atom_site_label
_atom_site_fract_x
_atom_site_fract_y
_atom_site_fract_z
Sc1 0.000 0.000 0.000
Si1 0.000 0.000 0.689
Rh1 0.000 0.000 0.311
```

Fermi-level density of states: 0.521 states/eV/atom
ΔE_f (raw): -0.811 eV per atom
Calculated volume: 15.8 Å³ per atom


# 5
First-principles (PBE-GGA) data for a relaxed Sc2SiRh4 crystal, as listed in Alexandria via LeMat-Bulk.

The structure in CIF format:
```
data_Sc2SiRh4
_chemical_formula_sum 'Sc4 Si2 Rh8'
_symmetry_space_group_name_H-M 'I 4/m m m'
_symmetry_Int_Tables_number 139
_symmetry_space_group_name_Hall '-I 4 2'
_cell_length_a 4.375
_cell_length_b 4.375
_cell_length_c 13.146
_cell_angle_alpha 90.00
_cell_angle_beta 90.00
_cell_angle_gamma 90.00
loop_
_atom_site_label
_atom_site_fract_x
_atom_site_fract_y
_atom_site_fract_z
Sc1 0.000 0.000 0.141
Si1 0.000 0.000 0.500
Rh1 0.000 0.000 0.326
Rh2 0.000 0.500 0.000
```

Fermi-level density of states: 0.113 states/eV/atom
ΔE_f (raw): -0.409 eV per atom
Calculated volume: 18.0 Å³ per atom


# 6
First-principles (PBE-GGA) data for a relaxed ScSi2Rh2 crystal, as listed in Alexandria via LeMat-Bulk.

The structure in CIF format:
```
data_ScSi2Rh2
_chemical_formula_sum 'Sc2 Si4 Rh4'
_symmetry_space_group_name_H-M 'P 4/m b m'
_symmetry_Int_Tables_number 127
_symmetry_space_group_name_Hall '-P 4 2ab'
_cell_length_a 7.250
_cell_length_b 7.250
_cell_length_c 2.791
_cell_angle_alpha 90.00
_cell_angle_beta 90.00
_cell_angle_gamma 90.00
loop_
_atom_site_label
_atom_site_fract_x
_atom_site_fract_y
_atom_site_fract_z
Sc1 0.000 0.000 0.000
Si1 0.145 0.355 0.000
Rh1 0.148 0.648 0.500
```

Fermi-level density of states: 0.563 states/eV/atom
ΔE_f (raw): -0.745 eV per atom
Calculated volume: 14.7 Å³ per atom


# 7
First-principles (PBE-GGA) data for a relaxed ScSi4Rh crystal, as listed in Alexandria via LeMat-Bulk.

The structure in CIF format:
```
data_ScSi4Rh
_chemical_formula_sum 'Sc4 Si16 Rh4'
_symmetry_space_group_name_H-M 'F -4 3 m'
_symmetry_Int_Tables_number 216
_symmetry_space_group_name_Hall 'F -4 2 3'
_cell_length_a 7.077
_cell_length_b 7.077
_cell_length_c 7.077
_cell_angle_alpha 90.00
_cell_angle_beta 90.00
_cell_angle_gamma 90.00
loop_
_atom_site_label
_atom_site_fract_x
_atom_site_fract_y
_atom_site_fract_z
Sc1 0.000 0.000 0.000
Si1 0.125 0.125 0.625
Rh1 0.250 0.250 0.250
```

Fermi-level density of states: 0.840 states/eV/atom
ΔE_f (raw): -0.053 eV per atom
Calculated volume: 14.8 Å³ per atom


# 8
First-principles (PBE-GGA) data for a relaxed Sc2SiRh5 crystal, as listed in Alexandria via LeMat-Bulk.

The structure in CIF format:
```
data_Sc2SiRh5
_chemical_formula_sum 'Sc4 Si2 Rh10'
_symmetry_space_group_name_H-M 'P b a m'
_symmetry_Int_Tables_number 55
_cell_length_a 5.476
_cell_length_b 10.667
_cell_length_c 4.068
_cell_angle_alpha 90.00
_cell_angle_beta 90.00
_cell_angle_gamma 90.00
loop_
_symmetry_equiv_pos_as_xyz
'x,y,z'
'-x,-y,-z'
'-x,-y,z'
'x,y,-z'
'x+1/2,-y+1/2,-z'
'-x+1/2,y+1/2,z'
'-x+1/2,y+1/2,-z'
'x+1/2,-y+1/2,z'
loop_
_atom_site_label
_atom_site_fract_x
_atom_site_fract_y
_atom_site_fract_z
Sc1 0.166 0.140 0.000
Si1 0.000 0.500 0.500
Rh1 0.000 0.000 0.500
Rh2 0.082 0.738 0.500
Rh3 0.173 0.397 0.000
```

Fermi-level density of states: 0.656 states/eV/atom
ΔE_f (raw): -0.882 eV per atom
Calculated volume: 14.9 Å³ per atom


# 9
First-principles (PBE-GGA) data for a relaxed ScSi2Rh3 crystal, as listed in Alexandria via LeMat-Bulk.

The structure in CIF format:
```
data_ScSi2Rh3
_chemical_formula_sum 'Sc6 Si12 Rh18'
_symmetry_space_group_name_H-M 'C 1 2/m 1'
_symmetry_Int_Tables_number 12
_cell_length_a 15.766
_cell_length_b 3.910
_cell_length_c 9.511
_cell_angle_alpha 90.00
_cell_angle_beta 108.82
_cell_angle_gamma 90.00
loop_
_symmetry_equiv_pos_as_xyz
'x,y,z'
'-x,-y,-z'
'-x,y,-z'
'x,-y,z'
'x+1/2,y+1/2,z'
'-x+1/2,-y+1/2,-z'
'-x+1/2,y+1/2,-z'
'x+1/2,-y+1/2,z'
loop_
_atom_site_label
_atom_site_fract_x
_atom_site_fract_y
_atom_site_fract_z
Sc1 0.000 0.000 0.000
Sc2 0.160 0.000 0.698
Si1 0.040 0.500 0.783
Si2 0.137 0.500 0.448
Si3 0.193 0.000 0.127
Rh1 0.000 0.500 0.500
Rh2 0.036 0.000 0.324
Rh3 0.116 0.500 0.190
Rh4 0.180 0.500 0.956
Rh5 0.218 0.000 0.390
```

Fermi-level density of states: 0.442 states/eV/atom
ΔE_f (raw): -0.931 eV per atom
Calculated volume: 15.4 Å³ per atom


# 10
First-principles (PBE-GGA) data for a relaxed Sc2SiRh2 crystal, as listed in Alexandria via LeMat-Bulk.

The structure in CIF format:
```
data_Sc2SiRh2
_chemical_formula_sum 'Sc4 Si2 Rh4'
_symmetry_space_group_name_H-M 'P 4/m b m'
_symmetry_Int_Tables_number 127
_symmetry_space_group_name_Hall '-P 4 2ab'
_cell_length_a 6.336
_cell_length_b 6.336
_cell_length_c 4.281
_cell_angle_alpha 90.00
_cell_angle_beta 90.00
_cell_angle_gamma 90.00
loop_
_atom_site_label
_atom_site_fract_x
_atom_site_fract_y
_atom_site_fract_z
Sc1 0.173 0.327 0.000
Si1 0.000 0.000 0.500
Rh1 0.148 0.648 0.500
```

Fermi-level density of states: 1.263 states/eV/atom
ΔE_f (raw): -0.809 eV per atom
Calculated volume: 17.2 Å³ per atom


# 11
First-principles (PBE-GGA) data for a relaxed Sc3Si4Rh2 crystal, as listed in Alexandria via LeMat-Bulk.

The structure in CIF format:
```
data_Sc3Si4Rh2
_chemical_formula_sum 'Sc6 Si8 Rh4'
_symmetry_space_group_name_H-M 'C 1 2/m 1'
_symmetry_Int_Tables_number 12
_cell_length_a 10.194
_cell_length_b 4.047
_cell_length_c 7.718
_cell_angle_alpha 90.00
_cell_angle_beta 110.46
_cell_angle_gamma 90.00
loop_
_symmetry_equiv_pos_as_xyz
'x,y,z'
'-x,-y,-z'
'-x,y,-z'
'x,-y,z'
'x+1/2,y+1/2,z'
'-x+1/2,-y+1/2,-z'
'-x+1/2,y+1/2,-z'
'x+1/2,-y+1/2,z'
loop_
_atom_site_label
_atom_site_fract_x
_atom_site_fract_y
_atom_site_fract_z
Sc1 0.000 0.000 0.000
Sc2 0.124 0.500 0.694
Si1 0.082 0.000 0.406
Si2 0.223 0.500 0.071
Rh1 0.182 0.500 0.355
```

Fermi-level density of states: 0.507 states/eV/atom
ΔE_f (raw): -0.937 eV per atom
Calculated volume: 16.6 Å³ per atom


# 12
First-principles (PBE-GGA) data for a relaxed ScSi3Rh3 crystal, as listed in Alexandria via LeMat-Bulk.

The structure in CIF format:
```
data_ScSi3Rh3
_chemical_formula_sum 'Sc2 Si6 Rh6'
_symmetry_space_group_name_H-M 'P m -3 n'
_symmetry_Int_Tables_number 223
_symmetry_space_group_name_Hall '-P 4n 2 3'
_cell_length_a 6.453
_cell_length_b 6.453
_cell_length_c 6.453
_cell_angle_alpha 90.00
_cell_angle_beta 90.00
_cell_angle_gamma 90.00
loop_
_atom_site_label
_atom_site_fract_x
_atom_site_fract_y
_atom_site_fract_z
Sc1 0.000 0.000 0.000
Si1 0.000 0.250 0.500
Rh1 0.000 0.500 0.250
```

Fermi-level density of states: 0.907 states/eV/atom
ΔE_f (raw): -0.315 eV per atom
Calculated volume: 19.2 Å³ per atom


Question: Among the records above, which one has the highest Fermi-level density of states?
Answer: number 3